Entry from Alexandria via LeMat-Bulk: a relaxed ZrAgPd3 crystal (PBE-GGA).

Cell: 4.901 4.901 4.901 Å, 90.00 90.00 90.00°
Atoms (fractional coordinates):
Pd1 0.500 0.000 0.000
Pd2 0.000 0.500 0.000
Pd3 0.000 0.000 0.500
Zr1 0.000 0.000 0.000
Ag1 0.500 0.500 0.500

Properties
Energy above the lowest structure with this stoichiometry, eV/f.u.: 3.590
SG: Pm-3m, No. 221
Volume, Å³ per atom: 23.5
Total magnetization, Bohr magnetons per cell: 0.00

=====

Entry from Alexandria via LeMat-Bulk: a relaxed Tm4Cd2GaAg crystal (PBE-GGA).

Cell: 5.132 5.132 8.875 Å, 73.19 73.19 60.00°
Atoms (fractional coordinates):
Tm1 0.374 0.374 0.879
Tm2 0.876 0.876 0.371
Tm3 0.626 0.626 0.121
Tm4 0.124 0.124 0.629
Ag1 0.500 0.500 0.500
Cd1 0.249 0.249 0.254
Cd2 0.751 0.751 0.746
Ga1 0.000 0.000 0.000

Properties
E_tot, eV per atom: -3.571
SG: R-3m, No. 166
Volume, Å³ per atom: 23.9
Total magnetization, Bohr magnetons per cell: 0.00

=====

Which value of volume does entry 1 give? 23.5 Å³ per atom

=====

Which formula does entry 1 have? ZrAgPd3

=====

total magnetization of number 1 (ZrAgPd3)? 0.00 Bohr magnetons per cell

=====

The highest volume belongs to which entry? Tm4Cd2GaAg